1.
Entry from Alexandria via LeMat-Bulk: a relaxed structure of Ac6Ga6Ge (PBE).

POSCAR file:
```
Ac6Ga6Ge
1.0
-4.8446 -3.9135 -1.9629
4.7472 -2.3403 3.8244
-5.7884 2.7252 8.8528
Ac Ga Ge
6 6 1
direct
0.0000 0.0000 0.7168
0.6666 0.3334 0.5000
0.3335 0.6665 0.0000
0.6665 0.3335 0.0000
0.0000 0.0000 0.2832
0.3334 0.6666 0.5000
0.0000 0.5000 0.7460
0.0000 0.5000 0.2540
0.5000 0.0000 0.7460
0.5000 0.5000 0.7460
0.5000 0.0000 0.2540
0.5000 0.5000 0.2540
0.0000 0.0000 0.0000
```

Summary:
* ΔE_f: -340 meV/atom
* calculated volume: 31.01 A^3/atom
* E_tot: -3.988 eV per atom
* spin magnetization: 0.00 μB per formula unit

=====

2.
Entry from Alexandria via LeMat-Bulk: a relaxed structure of CrIr2C (PBE).

POSCAR file:
```
CrIr2C
1.0
-4.8830 -1.2435 -0.0112
1.2431 -4.8825 0.0808
-1.8493 -2.9909 4.8443
Ir C Cr
4 2 2
direct
0.1830 0.6250 0.2500
0.3750 0.4330 0.7500
0.5670 0.1250 0.2500
0.8750 0.8170 0.7500
0.5000 0.5000 0.0000
0.2500 0.7500 0.5000
0.7500 0.2500 0.5000
0.0000 0.0000 0.0000
```

Summary:
* ΔE_f: 624 meV/atom
* calculated volume: 15.27 A^3/atom
* E_tot: -8.518 eV per atom
* spin magnetization: 0.19 μB per formula unit

=====

3.
Entry from Alexandria via LeMat-Bulk: a relaxed structure of LaEr4Tl5 (PBE).

POSCAR file:
```
LaEr4Tl5
1.0
-0.9343 -2.4274 2.6953
1.4484 -2.8014 -2.0209
17.4907 2.8307 8.6119
La Tl Er
1 5 4
direct
0.0000 0.0000 0.0000
0.5000 0.5000 0.1127
0.5000 0.5000 0.3074
0.5000 0.5000 0.6926
0.5000 0.5000 0.8873
0.5000 0.5000 0.5000
0.0000 0.0000 0.4035
0.0000 0.0000 0.2094
0.0000 0.0000 0.5965
0.0000 0.0000 0.7906
```

Summary:
* ΔE_f: -338 meV/atom
* calculated volume: 27.64 A^3/atom
* E_tot: -3.839 eV per atom
* spin magnetization: 0.00 μB per formula unit

=====

4.
Entry from Alexandria via LeMat-Bulk: a relaxed structure of BaZrO2 (PBE).

POSCAR file:
```
BaZrO2
1.0
2.0388 0.0000 6.9263
-1.0194 1.7657 6.9263
-1.0194 -1.7657 6.9263
O Ba Zr
2 1 1
direct
0.8748 0.8748 0.8748
0.1252 0.1252 0.1252
0.0000 0.0000 0.0000
0.5000 0.5000 0.5000
```

Summary:
* calculated volume: 18.70 A^3/atom
* E_tot: -7.341 eV per atom
* spin magnetization: 0.00 μB per formula unit
* raw formation energy: -2.244 eV per atom

=====

5.
Entry from Alexandria via LeMat-Bulk: a relaxed structure of Cs6Eu (PBE).

POSCAR file:
```
Cs6Eu
1.0
-4.4637 -10.0734 3.3075
8.1553 -1.8300 -7.9045
4.6042 5.3261 9.0979
Cs Eu
6 1
direct
0.7500 0.2500 0.5000
0.2500 0.5000 0.7500
0.5000 0.2500 0.7500
0.2500 0.7500 0.5000
0.5000 0.7500 0.2500
0.7500 0.5000 0.2500
0.0000 0.0000 0.0000
```

Summary:
* ΔE_f: 467 meV/atom
* calculated volume: 167.42 A^3/atom
* E_tot: -1.733 eV per atom
* spin magnetization: 7.13 μB per formula unit

=====

6.
Entry from Alexandria via LeMat-Bulk: a relaxed structure of VSbSe4 (PBE).

POSCAR file:
```
VSbSe4
1.0
3.6224 0.0000 0.0000
0.0000 6.6202 -1.1060
0.0000 0.3768 13.6000
V Se Sb
2 8 2
direct
0.0000 0.5000 0.5000
0.5000 0.5000 0.0000
0.5000 0.6227 0.3907
0.0000 0.8247 0.6150
0.0000 0.6227 0.8907
0.0000 0.1753 0.3850
0.5000 0.8247 0.1150
0.5000 0.1753 0.8850
0.0000 0.3773 0.1093
0.5000 0.3773 0.6093
0.5000 0.0000 0.5000
0.0000 0.0000 0.0000
```

Summary:
* calculated volume: 27.30 A^3/atom
* E_tot: -4.933 eV per atom
* spin magnetization: 0.72 μB per formula unit
* raw formation energy: -0.403 eV per atom